Entry 1:
La6Si2AuI3: relaxed, PBE.

crystal system	monoclinic
calculated total energy	-4.9917	eV per atom
ΔE_f (raw)	-0.96	eV per atom
magnetization	0.0	μB per cell

Structure (extended XYZ):
```
12
Lattice="-4.6346 -4.3853 -4.3793 -0.9804 0.2012 7.6738 -2.9204 7.2439 -1.8711" Properties=species:S:1:pos:R:3 pbc="T T T"
La -7.1975 1.7631 -1.0375
La -4.6966 -1.5178 2.0015
La -1.3378 1.2967 2.4609
La -5.9479 3.3315 3.0843
La -3.8388 4.5775 -0.5780
La -2.5875 -0.2718 -1.6608
Si -2.1996 -1.3291 3.6523
Si -3.4154 -2.8550 -0.3578
Au 0.0000 0.0000 0.0000
I -3.0512 3.0567 4.7243
I -5.4842 0.0030 -3.3008
I -4.2677 1.5299 0.7117
```


Entry 2:
La4SiAuI2: relaxed, PBE.

crystal system	monoclinic
calculated total energy	-4.8862	eV per atom
ΔE_f (raw)	-0.95	eV per atom
magnetization	0.0	μB per cell

Structure (extended XYZ):
```
8
Lattice="4.3666 0.0000 0.0000 0.0000 7.9287 0.2469 0.0000 -2.6679 7.5647" Properties=species:S:1:pos:R:3 pbc="T T T"
La 2.1833 1.2352 1.6504
La 2.1833 4.0256 6.1611
La 0.0000 -0.0449 6.0575
La 0.0000 5.3057 1.7541
Si 0.0000 0.0000 0.0000
Au 2.1833 3.9643 0.1235
I 2.1833 -1.3339 3.7823
I 0.0000 2.6304 3.9058
```


Entry 3:
La6SiAu2I3: relaxed, PBE.

crystal system	monoclinic
calculated total energy	-4.7763	eV per atom
ΔE_f (raw)	-0.93	eV per atom
magnetization	0.0	μB per cell

Structure (extended XYZ):
```
12
Lattice="-3.1268 2.8271 6.5060 -4.4044 -0.9977 -6.3011 0.8475 -7.7036 2.2162" Properties=species:S:1:pos:R:3 pbc="T T T"
La -4.8882 -4.0490 3.9934
La -5.4311 -0.2801 0.6255
La -1.7955 -1.8252 -1.5722
La -5.3050 -5.2970 -0.1853
La -1.2526 -5.5941 1.7957
La -1.3787 -0.5772 2.6064
Si 0.0000 0.0000 0.0000
Au -3.9784 0.2776 -2.0307
Au -3.5528 1.5518 2.2357
I -3.7690 -4.2157 -3.0708
I -2.9147 -1.6585 5.4919
I -3.3419 -2.9371 1.2106
```


Entry 4:
LaSn2AuI: relaxed, PBE.

crystal system	tetragonal
calculated total energy	-3.0493	eV per atom
ΔE_f (raw)	0.50	eV per atom
magnetization	0.0	μB per cell

Structure (extended XYZ):
```
5
Lattice="-2.7364 -5.6045 0.0359 4.7816 -2.3526 -2.7988 2.6200 -1.2438 5.5216" Properties=species:S:1:pos:R:3 pbc="T T T"
I 2.3908 -1.1763 -1.3994
Au 2.3326 -4.6004 1.3794
Sn 1.3100 -0.6219 2.7608
Sn -1.3682 -2.8023 0.0180
La 0.0000 0.0000 0.0000
```


Entry 5:
SrLa2AuI: relaxed, PBE.

crystal system	tetragonal
calculated total energy	-2.6399	eV per atom
ΔE_f (raw)	0.63	eV per atom
magnetization	0.0	μB per cell

Structure (extended XYZ):
```
5
Lattice="-5.1045 3.4107 0.2503 -2.0550 -3.3909 4.2971 2.6519 3.6635 4.1591" Properties=species:S:1:pos:R:3 pbc="T T T"
I -1.0275 -1.6955 2.1486
Sr 0.0000 0.0000 0.0000
Au -2.2538 1.8417 4.3533
La 1.3259 1.8318 2.0796
La -2.5523 1.7054 0.1252
```


Entry 6:
La8TcAu3I4: relaxed, PBE.

crystal system	trigonal
calculated total energy	-4.9698	eV per atom
ΔE_f (raw)	-0.86	eV per atom
magnetization	0.0	μB per cell

Structure (extended XYZ):
```
16
Lattice="-6.4322 5.7962 -1.3932 -6.4919 -6.5050 2.9092 6.4994 1.9161 5.5670" Properties=species:S:1:pos:R:3 pbc="T T T"
La 0.3998 -1.3719 7.1336
La -3.0584 -2.3912 4.1719
La -0.2089 0.6065 3.4879
La -3.0228 1.7123 6.3923
La -3.4019 -0.5049 0.6907
La -6.2158 0.6009 3.5952
La -3.3663 3.5985 2.9112
La -6.8246 2.5793 -0.0506
Tc -3.2460 -3.2525 1.4546
Au -6.4621 -0.3544 0.7580
Au -3.2124 0.6037 3.5415
Au 0.0038 -2.2944 4.2381
I -3.2161 2.8981 -0.6966
I 0.0336 3.8562 2.0869
I 0.0000 0.0000 0.0000
I 3.2497 0.9581 2.7835
```


ΔE_f (raw) of number 2 (La4SiAuI2)?
-0.95 eV per atom


The lowest ΔE_f (raw) belongs to which entry?
La6Si2AuI3